Entry 1:
{"formula": "Th5GaSb5", "functional": "PBE", "state": "optimized geometry", "lattice": [[-2.570, 5.187, -2.530], [0.367, -6.029, -4.847], [-7.274, -1.153, 5.025]], "species": ["Th", "Sb", "Sb", "Th", "Sb", "Th", "Sb", "Sb", "Ga", "Th", "Th"], "frac_coords": [[0.838, 0.676, 0.165], [0.000, 0.000, 0.500], [0.668, 0.337, 0.337], [0.163, 0.326, 0.329], [0.663, 0.326, 0.825], [0.837, 0.674, 0.671], [0.332, 0.663, 0.663], [0.337, 0.674, 0.175], [0.000, 0.000, 0.000], [0.500, 0.000, 0.000], [0.162, 0.324, 0.835]], "formation_energy_uncorrected_ev_per_fu": -7.141, "mass_density_g_cm3": 8.1}

Entry 2:
{"formula": "Th8GaSb2", "functional": "PBE", "state": "optimized geometry", "lattice": [[-3.410, 3.163, -0.690], [-2.917, -1.579, 7.181], [7.065, 4.964, 3.861]], "species": ["Ga", "Th", "Th", "Sb", "Sb", "Th", "Th", "Th", "Th", "Th", "Th"], "frac_coords": [[0.500, 0.000, 0.000], [0.336, 0.951, 0.672], [0.016, 0.243, 0.032], [0.169, 0.771, 0.338], [0.831, 0.229, 0.662], [0.782, 0.641, 0.565], [0.218, 0.359, 0.435], [0.596, 0.528, 0.192], [0.984, 0.757, 0.968], [0.404, 0.472, 0.808], [0.664, 0.049, 0.328]], "formation_energy_uncorrected_ev_per_fu": -3.104, "mass_density_g_cm3": 10.6}

Entry 3:
{"formula": "Th5Ga2Sb", "functional": "PBE", "state": "optimized geometry", "lattice": [[-7.980, -0.080, -0.821], [-0.061, -7.905, 1.362], [3.300, 5.185, 6.617]], "species": ["Sb", "Th", "Th", "Ga", "Th", "Th", "Th", "Th", "Th", "Sb", "Th", "Th", "Th", "Ga", "Ga", "Ga"], "frac_coords": [[0.750, 0.750, 0.500], [0.500, 0.500, 0.000], [0.000, 0.000, 0.000], [0.870, 0.630, 0.000], [0.808, 0.987, 0.295], [0.513, 0.692, 0.705], [0.692, 0.192, 0.705], [0.192, 0.013, 0.705], [0.487, 0.308, 0.295], [0.250, 0.250, 0.500], [0.308, 0.808, 0.295], [0.987, 0.487, 0.295], [0.013, 0.513, 0.705], [0.370, 0.870, 0.000], [0.130, 0.370, 0.000], [0.630, 0.130, 0.000]], "formation_energy_uncorrected_ev_per_fu": -3.855, "mass_density_g_cm3": 10.4}